Material: Rb2Pa3CoO12
Method: DFT, PBE with a Hubbard U
State: optimized geometry

The electronic total energy comes out at -7.6467 eV per atom.

The space group is R-3m (No. 166, hexagonal axes) and the conventional cell measures 7.9589, 7.9589 and 18.2283 Å, with angles of 90.00, 90.00 and 120.00 degrees. Symmetry generates all atoms from Rb at (0.0000, 0.0000, 0.1286), Pa at (0.0000, 0.5000, 0.0000), Co at (0.0000, 0.0000, 0.5000), O at (0.0766, 0.5383, 0.3655) and O at (0.1101, 0.2202, 0.4438).